Li3BeF6: relaxed, PBE.

Results
- E above lowest polymorph (meV/atom) = 9.5
- raw total energy (eV/atom) = -4.680

Cell and atoms, written as CIF:
```
data_Li3BeF6
_cell_length_a 4.9237
_cell_length_b 5.1804
_cell_length_c 8.5249
_cell_angle_alpha 90.00
_cell_angle_beta 125.27
_cell_angle_gamma 90.00
_space_group_name_H-M_alt 'P 1'
_space_group_IT_number 1
loop_
_space_group_symop_operation_xyz
'x,y,z'
loop_
_atom_site_label
_atom_site_fract_x
_atom_site_fract_y
_atom_site_fract_z
Li1 0.0000 0.0000 0.0000
Li2 0.0000 0.5000 0.5000
Li3 0.2612 0.0652 0.7431
Li4 0.2612 0.4348 0.2431
Li5 0.7388 0.5652 0.7569
Li6 0.7388 0.9348 0.2569
Be1 0.5000 0.0000 0.5000
Be2 0.5000 0.5000 0.0000
F1 0.1394 0.0600 0.2788
F2 0.1394 0.4400 0.7788
F3 0.2744 0.6844 0.0629
F4 0.2744 0.8156 0.5629
F5 0.4112 0.2148 0.0831
F6 0.4112 0.2852 0.5831
F7 0.5888 0.7148 0.4169
F8 0.5888 0.7852 0.9169
F9 0.7256 0.1844 0.4371
F10 0.7256 0.3156 0.9371
F11 0.8606 0.5600 0.2212
F12 0.8606 0.9400 0.7212
```

=====

Li2BeF4: relaxed, PBE.

Results
- E above lowest polymorph (meV/atom) = 0.0
- raw total energy (eV/atom) = -5.273

Cell and atoms, written as CIF:
```
data_Li2BeF4
_cell_length_a 8.3660
_cell_length_b 8.3660
_cell_length_c 8.3660
_cell_angle_alpha 107.83
_cell_angle_beta 107.83
_cell_angle_gamma 107.83
_space_group_name_H-M_alt 'P 1'
_space_group_IT_number 1
loop_
_space_group_symop_operation_xyz
'x,y,z'
loop_
_atom_site_label
_atom_site_fract_x
_atom_site_fract_y
_atom_site_fract_z
Li1 0.1002 0.8787 0.2768
Li2 0.1213 0.7232 0.8998
Li3 0.2045 0.6123 0.4393
Li4 0.2768 0.1002 0.8787
Li5 0.3877 0.5607 0.7955
Li6 0.4393 0.2045 0.6123
Li7 0.5607 0.7955 0.3877
Li8 0.6123 0.4393 0.2045
Li9 0.7232 0.8998 0.1213
Li10 0.7955 0.3877 0.5607
Li11 0.8787 0.2768 0.1002
Li12 0.8998 0.1213 0.7232
Be1 0.0536 0.2352 0.4592
Be2 0.2352 0.4592 0.0536
Be3 0.4592 0.0536 0.2352
Be4 0.5408 0.9464 0.7648
Be5 0.7648 0.5408 0.9464
Be6 0.9464 0.7648 0.5408
F1 0.0251 0.9695 0.6924
F2 0.0305 0.3076 0.9749
F3 0.0358 0.3623 0.3568
F4 0.0672 0.7564 0.4289
F5 0.2436 0.5711 0.9328
F6 0.2643 0.3110 0.5996
F7 0.3076 0.9749 0.0305
F8 0.3110 0.5996 0.2643
F9 0.3568 0.0358 0.3623
F10 0.3623 0.3568 0.0358
F11 0.4004 0.7357 0.6890
F12 0.4289 0.0672 0.7564
F13 0.5711 0.9328 0.2436
F14 0.5996 0.2643 0.3110
F15 0.6377 0.6432 0.9642
F16 0.6432 0.9642 0.6377
F17 0.6890 0.4004 0.7357
F18 0.6924 0.0251 0.9695
F19 0.7357 0.6890 0.4004
F20 0.7564 0.4289 0.0672
F21 0.9328 0.2436 0.5711
F22 0.9642 0.6377 0.6432
F23 0.9695 0.6924 0.0251
F24 0.9749 0.0305 0.3076
```

=====

Summary of formation energy from raw total energies in meV per atom
-2610, -3124
(order as listed above)